Compound: Ca2CuAs
Source: the Alexandria database
Functional: GGA-PBE
Structure: optimized geometry

Summary:
Its energy is -26.8 eV per cell. The density of states at the Fermi level comes out at 0.000 states/eV/atom.

Structure (CIF):
```
data_Ca2CuAs
_space_group_name_H-M_alt 'P 1'
_space_group_IT_number 1
_space_group_name_Hall 'P 1'
_cell_length_a 6.139
_cell_length_b 6.139
_cell_length_c 8.730
_cell_angle_alpha 69.42
_cell_angle_beta 69.42
_cell_angle_gamma 90.00
loop_
_atom_site_label
_atom_site_fract_x
_atom_site_fract_y
_atom_site_fract_z
As1 0.000 0.000 0.000
As2 0.750 0.250 0.500
Ca1 0.648 0.125 0.250
Ca2 0.102 0.625 0.250
Ca3 0.375 0.352 0.750
Ca4 0.875 0.898 0.750
Cu1 0.500 0.500 0.000
Cu2 0.250 0.750 0.500
```